(1)
! Ac2NdCd | the Alexandria database | PBE-GGA | relaxed; values from VASP
! D(E_F), states/eV/atom: 1.005
! ΔH_f (0 K), eV per atom: -0.133
! Energy, eV/cell: -14.433
! SG: P4/mmm, No. 123
! Calculated density, g/cm³: 7.90
&SYSTEM
  ibrav = 0, nat = 4, ntyp = 3
/
ATOMIC_SPECIES
Cd 112.41 Cd.upf
Ac 227.00 Ac.upf
Nd 144.24 Nd.upf
CELL_PARAMETERS angstrom
-0.508 3.941 -0.221
-3.357 -0.549 -2.066
-4.920 -0.183 8.043
ATOMIC_POSITIONS angstrom
Cd -1.933 1.696 -1.144
Ac -3.817 -0.142 6.240
Ac -1.103 -0.041 1.803
Nd -4.392 1.605 2.878

---

(2)
! La2TeIrN | the Alexandria database | PBE-GGA | relaxed; values from VASP
! D(E_F), states/eV/atom: 0.607
! Energy, eV/cell: -35.531
! SG: P4/mmm, No. 123
! Calculated density, g/cm³: 8.88
&SYSTEM
  ibrav = 0, nat = 5, ntyp = 4
/
ATOMIC_SPECIES
La 138.91 La.upf
Te 127.60 Te.upf
N 14.01 N.upf
Ir 192.22 Ir.upf
CELL_PARAMETERS angstrom
5.437 0.000 0.000
0.000 5.437 0.000
0.000 0.000 3.867
ATOMIC_POSITIONS angstrom
La 2.718 0.000 0.000
La 0.000 2.718 0.000
Te 2.718 2.718 1.934
N 0.000 0.000 0.000
Ir 0.000 0.000 1.934

---

(3)
! HfMgSc4 | the Alexandria database | PBE-GGA | relaxed; values from VASP
! D(E_F), states/eV/atom: 1.398
! ΔH_f (0 K), eV per atom: 0.019
! Energy, eV/cell: -36.760
! SG: P4/mmm, No. 123
! Calculated density, g/cm³: 4.48
&SYSTEM
  ibrav = 0, nat = 6, ntyp = 3
/
ATOMIC_SPECIES
Sc 44.96 Sc.upf
Mg 24.30 Mg.upf
Hf 178.49 Hf.upf
CELL_PARAMETERS angstrom
-1.723 2.235 -1.556
0.673 -1.435 -2.806
-11.174 -7.728 1.274
ATOMIC_POSITIONS angstrom
Sc -2.324 -0.844 -1.976
Sc -3.741 -2.587 0.426
Sc -7.433 -5.141 0.847
Sc -9.901 -6.084 -1.112
Mg -6.112 -3.464 -1.544
Hf 0.000 0.000 0.000

---

(4)
! TiTlMo | the Alexandria database | PBE-GGA | relaxed; values from VASP
! D(E_F), states/eV/atom: 0.969
! ΔH_f (0 K), eV per atom: 0.198
! Energy, eV/cell: -81.992
! SG: Cmcm, No. 63
! Calculated density, g/cm³: 10.46
&SYSTEM
  ibrav = 0, nat = 12, ntyp = 3
/
ATOMIC_SPECIES
Tl 204.38 Tl.upf
Mo 95.94 Mo.upf
Ti 47.87 Ti.upf
CELL_PARAMETERS angstrom
-3.554 -0.398 3.189
-6.219 -1.635 -7.135
0.841 -4.719 0.348
ATOMIC_POSITIONS angstrom
Tl -5.818 -4.967 -3.505
Tl -0.932 -3.950 -1.532
Tl -4.446 -2.404 -5.255
Tl -3.113 -1.786 -0.093
Mo -5.044 -2.293 -2.308
Mo -0.158 -1.276 -0.335
Mo -3.887 -4.459 -1.290
Mo -5.220 -5.078 -6.452
Ti -2.891 -4.465 -3.779
Ti -1.558 -3.847 1.383
Ti -2.487 -1.889 -3.008
Ti -7.374 -2.906 -4.981

---

(5)
! ReHg3S | the Alexandria database | PBE-GGA | relaxed; values from VASP
! D(E_F), states/eV/atom: 0.841
! Energy, eV/cell: -9.904
! SG: Pm-3m, No. 221
! Calculated density, g/cm³: 9.73
&SYSTEM
  ibrav = 0, nat = 5, ntyp = 3
/
ATOMIC_SPECIES
Re 186.21 Re.upf
Hg 200.59 Hg.upf
S 32.06 S.upf
CELL_PARAMETERS angstrom
5.191 0.000 0.000
0.000 5.191 0.000
0.000 0.000 5.191
ATOMIC_POSITIONS angstrom
Re 2.596 2.596 2.596
Hg 0.000 0.000 2.596
Hg 2.596 0.000 0.000
Hg 0.000 2.596 0.000
S 0.000 0.000 0.000

---

(6)
! Li2ScZnAu | the Alexandria database | PBE-GGA | relaxed; values from VASP
! D(E_F), states/eV/atom: 1.115
! ΔH_f (0 K), eV per atom: 0.761
! Energy, eV/cell: -10.908
! SG: P4/mmm, No. 123
! Calculated density, g/cm³: 3.61
&SYSTEM
  ibrav = 0, nat = 5, ntyp = 4
/
ATOMIC_SPECIES
Li 6.94 Li.upf
Au 196.97 Au.upf
Zn 65.41 Zn.upf
Sc 44.96 Sc.upf
CELL_PARAMETERS angstrom
5.416 0.000 0.000
0.000 5.044 0.000
0.000 0.000 5.416
ATOMIC_POSITIONS angstrom
Li 0.000 0.000 2.708
Li 2.708 0.000 0.000
Au 0.000 2.522 0.000
Zn 2.708 2.522 2.708
Sc 0.000 0.000 0.000

---

Which of these has the lowest calculated density? Li2ScZnAu